(1)
Compound: Th3Bi3Te2
Source: the Alexandria database
Functional: GGA-PBE
Structure: relaxed

Structure (extended XYZ):
```
8
Lattice="-2.188 2.422 11.889 2.188 -2.422 11.889 2.188 2.422 -11.889" Properties=species:S:1:pos:R:3 pbc="T T T"
Th 0.000 0.000 0.000
Th 2.188 0.000 8.261
Th 0.000 2.422 3.628
Bi 2.188 0.000 2.705
Bi 0.000 0.000 11.889
Bi 0.000 2.422 9.185
Te 0.000 0.000 5.884
Te 0.000 0.000 17.895
```

Values from the calculation:
Size of the total moment ... 0.000 μB per atom
Energy relative to the elements, uncorrected ... -0.620 eV/atom
Space-group type ... Immm, No. 71
N(E_F) ... 0.631 states/eV per atom


(2)
Compound: RbAcBe2F8
Source: the Alexandria database
Functional: GGA-PBE
Structure: relaxed

Structure (extended XYZ):
```
12
Lattice="2.698 1.558 7.338 -2.698 1.558 7.338 0.000 -3.116 7.338" Properties=species:S:1:pos:R:3 pbc="T T T"
Rb 0.000 0.000 0.000
Ac 0.000 0.000 11.007
Be 0.000 0.000 5.664
Be 0.000 0.000 16.350
F -2.025 -0.254 9.646
F -0.793 -1.881 12.367
F 0.000 0.000 7.155
F 1.232 -1.627 9.646
F -1.232 1.627 12.367
F 0.000 0.000 14.859
F 0.793 1.881 9.646
F 2.025 0.254 12.367
```

Values from the calculation:
Size of the total moment ... 0.007 μB per atom
Energy relative to the elements, uncorrected ... -3.495 eV/atom
Space-group type ... R-3, No. 148
N(E_F) ... 0.000 states/eV per atom


(3)
Compound: Ti5As3
Source: the Alexandria database
Functional: GGA-PBE
Structure: relaxed

Structure (extended XYZ):
```
16
Lattice="7.540 0.000 0.000 -3.770 6.530 0.000 0.000 0.000 5.199" Properties=species:S:1:pos:R:3 pbc="T T T"
Ti -0.968 1.676 1.300
Ti -2.802 4.854 3.899
Ti 1.935 0.000 1.300
Ti 0.968 1.676 3.899
Ti 0.000 4.353 0.000
Ti 0.000 4.353 2.599
Ti 3.770 2.177 0.000
Ti 3.770 2.177 2.599
Ti 5.604 0.000 3.899
Ti 2.802 4.854 1.300
As -1.448 2.508 3.899
As -2.322 4.022 1.300
As 2.896 0.000 3.899
As 1.448 2.508 1.300
As 4.644 0.000 1.300
As 2.322 4.022 3.899
```

Values from the calculation:
Size of the total moment ... 0.000 μB per atom
Energy above the most stable polymorph in this dataset ... 0.0150 eV per atom
Space-group type ... P6_3/mcm, No. 193
N(E_F) ... 1.165 states/eV per atom


(4)
Compound: NbAsSCl2
Source: the Alexandria database
Functional: GGA-PBE
Structure: relaxed

Structure (extended XYZ):
```
5
Lattice="4.847 0.000 0.000 0.000 4.847 0.000 0.000 0.000 5.111" Properties=species:S:1:pos:R:3 pbc="T T T"
Nb 0.000 0.000 0.000
As 2.424 2.424 2.556
S 2.424 2.424 0.000
Cl 0.000 2.424 2.556
Cl 2.424 0.000 2.556
```

Values from the calculation:
Size of the total moment ... 0.720 μB per atom
Energy above the most stable polymorph in this dataset ... 0.6725 eV per atom
Energy relative to the elements, uncorrected ... 0.586 eV/atom
Space-group type ... P4/mmm, No. 123
N(E_F) ... 1.529 states/eV per atom


(5)
Compound: CuOsI2
Source: the Alexandria database
Functional: GGA-PBE
Structure: relaxed

Structure (extended XYZ):
```
4
Lattice="0.000 3.440 3.440 3.440 0.000 3.440 3.440 3.440 0.000" Properties=species:S:1:pos:R:3 pbc="T T T"
Cu 0.000 0.000 0.000
Os 3.440 3.440 3.440
I 1.720 1.720 1.720
I 5.160 5.160 5.160
```

Values from the calculation:
Size of the total moment ... 0.000 μB per atom
Energy above the most stable polymorph in this dataset ... 0.3800 eV per atom
Energy relative to the elements, uncorrected ... 1.269 eV/atom
Space-group type ... Fm-3m, No. 225
N(E_F) ... 1.405 states/eV per atom


(6)
Compound: TmAs2Rh5
Source: the Alexandria database
Functional: GGA-PBE
Structure: relaxed

Structure (extended XYZ):
```
8
Lattice="-1.930 3.499 4.870 1.930 -3.499 4.870 1.930 3.499 -4.870" Properties=species:S:1:pos:R:3 pbc="T T T"
Tm 0.000 0.000 0.000
As 1.930 0.000 2.461
As 0.000 3.499 2.410
Rh 1.930 2.095 -1.389
Rh 1.930 2.095 1.389
Rh 0.000 3.499 0.000
Rh 0.000 1.404 3.482
Rh 0.000 1.404 6.259
```

Values from the calculation:
Size of the total moment ... 0.000 μB per atom
Electronic total energy ... -6.922 eV per atom
Space-group type ... Immm, No. 71
N(E_F) ... 0.655 states/eV per atom


(7)
Compound: SmPuI5
Source: the Alexandria database
Functional: GGA-PBE
Structure: relaxed

Structure (extended XYZ):
```
14
Lattice="9.327 0.000 0.000 0.000 4.313 0.000 -1.288 0.000 14.965" Properties=species:S:1:pos:R:3 pbc="T T T"
Sm 0.578 1.078 2.335
Sm 7.461 3.235 12.630
Pu 3.325 3.235 5.383
Pu 4.714 1.078 9.582
I 0.235 1.078 11.859
I 0.909 1.078 5.509
I 1.656 3.235 0.269
I 2.557 3.235 8.542
I 3.708 1.078 2.929
I 4.331 3.235 12.036
I 5.482 1.078 6.423
I 6.383 1.078 14.696
I 7.130 3.235 9.456
I 7.804 3.235 3.106
```

Values from the calculation:
Size of the total moment ... 0.858 μB per atom
Energy relative to the elements, uncorrected ... -1.246 eV/atom
Space-group type ... P2_1/m, No. 11
N(E_F) ... 1.934 states/eV per atom


(8)
Compound: Li4Zr
Source: the Alexandria database
Functional: GGA-PBE
Structure: relaxed

Structure (extended XYZ):
```
5
Lattice="5.411 0.000 0.000 0.000 5.411 0.000 0.000 0.000 5.411" Properties=species:S:1:pos:R:3 pbc="T T T"
Li 0.000 0.000 0.000
Li 0.000 2.706 2.706
Li 2.706 0.000 2.706
Li 2.706 2.706 0.000
Zr 2.706 2.706 2.706
```

Values from the calculation:
Size of the total moment ... 0.618 μB per atom
Energy above the most stable polymorph in this dataset ... 0.1168 eV per atom
Space-group type ... Pm-3m, No. 221
N(E_F) ... 0.961 states/eV per atom